Entry from Alexandria: an optimized crystal structure of V2Zn2PbO7 (PBE with a Hubbard U).

Cell: 5.6203 5.6203 8.6915 Å, 71.14 71.14 60.00°
Last column: nearest neighbours and their distance in Å.
Element x y z (fractional)
V 0.9256 0.9256 0.2232  4 O 1.80-1.82
V 0.0744 0.0744 0.7768  4 O 1.80-1.82
Zn 0.7634 0.7634 0.7097  3 O 1.90
Zn 0.2366 0.2366 0.2903  3 O 1.90
Pb 0.5000 0.5000 0.5000  6 O 2.58
O 0.1938 0.9163 0.3029  1 V 1.82, 1 Zn 1.90
O 0.5870 0.1938 0.3029  1 V 1.82, 1 Zn 1.90
O 0.9163 0.5870 0.3029  1 V 1.82, 1 Zn 1.90
O 0.4130 0.0837 0.6971  1 V 1.82, 1 Zn 1.90
O 0.8062 0.4130 0.6971  1 V 1.82, 1 Zn 1.90
O 0.0000 0.0000 0.0000  2 V 1.80
O 0.0837 0.8062 0.6971  1 V 1.82, 1 Zn 1.90

Computed properties:
Its symmetry is R32 (155). As for the total magnetic moment: 2.000 μB per formula unit. The total energy comes out at -6.1719 eV/atom.